The following is a PBE calculation of Tb3Sc7Pt4 after structural relaxation, from Alexandria.

POSCAR file:
```
Tb3Sc7Pt4
1.0
-2.517 -0.646 3.783
-2.091 -8.295 -0.023
5.492 -4.134 5.731
Tb Sc Pt
3 7 4
Cartesian
-0.119 -2.556 2.269 Tb
1.003 -10.518 7.223 Tb
1.700 -6.214 2.854 Tb
0.364 -9.480 4.191 Sc
2.639 -5.482 6.387 Sc
2.098 -7.734 8.427 Sc
0.520 -3.594 5.300 Sc
-1.214 -5.341 1.064 Sc
0.000 0.000 0.000 Sc
-1.755 -7.593 3.104 Sc
-1.349 -4.968 3.822 Pt
2.233 -8.107 5.669 Pt
-2.203 -9.201 5.315 Pt
3.087 -3.874 4.176 Pt
```

Output
Magnetization = 0.00 μB/cell
Energy of formation from the pure elements = -0.78 eV per atom